Cd2Au | PBEsol | relaxed

Results
space-group type: No. 63
energy: -2.247 eV/atom
D(E_F): 0.8 states/eV/f.u.

Lattice parameters (Å, degrees): 3.122 4.744 7.742 90.00 101.63 90.00
Element x y z (fractional)
1 Cd 0.056 0.250 0.111
2 Cd 0.726 0.250 0.452
3 Cd 0.274 0.750 0.548
4 Cd 0.944 0.750 0.889
5 Au 0.389 0.250 0.778
6 Au 0.611 0.750 0.222

---

Cd4Au3 | PBEsol | relaxed

Results
space-group type: No. 191
energy: -2.445 eV/atom
offset from the most stable computed form: 0.039 eV/atom
D(E_F): 2.9 states/eV/f.u.

Lattice parameters (Å, degrees): 5.318 5.429 5.429 120.00 90.00 90.00
Element x y z (fractional)
1 Cd 0.746 0.000 0.000
2 Cd 0.500 0.667 0.333
3 Cd 0.500 0.333 0.667
4 Cd 0.254 0.000 0.000
5 Au 0.000 0.500 0.500
6 Au 0.000 0.000 0.500
7 Au 0.000 0.500 0.000

---

Cd2Au | PBEsol | relaxed

Results
space-group type: No. 12
energy: -2.240 eV/atom
D(E_F): 0.8 states/eV/f.u.

Lattice parameters (Å, degrees): 3.103 5.615 6.975 104.09 90.00 106.04
Element x y z (fractional)
1 Cd 0.320 0.639 0.873
2 Cd 0.680 0.361 0.127
3 Cd 0.362 0.724 0.469
4 Cd 0.638 0.276 0.531
5 Au 0.967 0.934 0.199
6 Au 0.033 0.066 0.801

---

CdAu2 | PBEsol | relaxed

Results
space-group type: No. 191
energy: -3.107 eV/atom
D(E_F): 0.9 states/eV/f.u.

Lattice parameters (Å, degrees): 2.806 4.717 4.717 120.00 90.00 90.00
Element x y z (fractional)
1 Au 0.500 0.667 0.333
2 Au 0.500 0.333 0.667
3 Cd 0.000 0.000 0.000

---

CdAu3 | PBEsol | relaxed

Results
space-group type: No. 12
energy: -3.341 eV/atom
D(E_F): 1.1 states/eV/f.u.

Lattice parameters (Å, degrees): 2.997 5.014 4.978 100.97 90.00 107.39
Element x y z (fractional)
1 Au 0.750 0.499 0.749
2 Au 0.000 0.000 0.500
3 Au 0.250 0.501 0.251
4 Cd 0.500 0.000 0.000

---

CdAu3 | PBEsol | relaxed

Results
space-group type: No. 47
energy: -3.345 eV/atom
D(E_F): 1.2 states/eV/f.u.

Lattice parameters (Å, degrees): 3.006 4.014 5.793 90.00 90.00 90.00
Element x y z (fractional)
1 Cd 0.500 0.500 0.000
2 Au 0.500 0.500 0.500
3 Au 0.000 0.000 0.748
4 Au 0.000 0.000 0.252

---

CdAu2 | PBEsol | relaxed

Results
space-group type: No. 227
energy: -3.085 eV/atom
D(E_F): 1.1 states/eV/f.u.

Lattice parameters (Å, degrees): 5.446 5.446 5.446 60.00 60.00 60.00
Element x y z (fractional)
1 Cd 0.500 0.500 0.500
2 Cd 0.750 0.750 0.750
3 Au 0.625 0.125 0.125
4 Au 0.125 0.625 0.125
5 Au 0.125 0.125 0.125
6 Au 0.125 0.125 0.625

---

CdAu3 | PBEsol | relaxed

Results
space-group type: No. 187
energy: -3.284 eV/atom
D(E_F): 1.5 states/eV/f.u.

Lattice parameters (Å, degrees): 2.960 2.960 9.230 90.00 90.00 120.00
Element x y z (fractional)
1 Cd 0.000 0.000 0.500
2 Au 0.000 0.000 0.000
3 Au 0.333 0.667 0.751
4 Au 0.333 0.667 0.249

---

CdAu3 | PBEsol | relaxed

Results
space-group type: No. 223
energy: -3.255 eV/atom
D(E_F): 1.8 states/eV/f.u.

Lattice parameters (Å, degrees): 5.250 5.250 5.250 90.00 90.00 90.00
Element x y z (fractional)
1 Cd 0.500 0.500 0.500
2 Cd 0.000 0.000 0.000
3 Au 0.000 0.250 0.500
4 Au 0.500 0.000 0.250
5 Au 0.750 0.500 0.000
6 Au 0.250 0.500 0.000
7 Au 0.000 0.750 0.500
8 Au 0.500 0.000 0.750

---

Cd2Au | PBEsol | relaxed

Results
space-group type: No. 225
energy: -2.223 eV/atom
D(E_F): 1.1 states/eV/f.u.

Lattice parameters (Å, degrees): 4.551 4.551 4.551 60.00 60.00 60.00
Element x y z (fractional)
1 Cd 0.750 0.750 0.750
2 Cd 0.250 0.250 0.250
3 Au 0.000 0.000 0.000

---

CdAu2 | PBEsol | relaxed

Results
space-group type: No. 141
energy: -3.028 eV/atom
D(E_F): 0.9 states/eV/f.u.

Lattice parameters (Å, degrees): 3.455 3.455 10.084 99.86 99.86 90.00
Element x y z (fractional)
1 Au 0.678 0.178 0.355
2 Au 0.822 0.322 0.645
3 Au 0.572 0.572 0.145
4 Au 0.428 0.428 0.855
5 Cd 0.000 0.000 0.000
6 Cd 0.250 0.750 0.500

---

Cd2Au | PBEsol | relaxed

Results
space-group type: No. 141
energy: -2.198 eV/atom
D(E_F): 0.9 states/eV/f.u.

Lattice parameters (Å, degrees): 3.045 3.045 12.967 96.74 96.74 90.00
Element x y z (fractional)
1 Au 0.250 0.750 0.500
2 Au 0.000 0.000 0.000
3 Cd 0.576 0.576 0.153
4 Cd 0.826 0.326 0.653
5 Cd 0.424 0.424 0.847
6 Cd 0.674 0.174 0.347

---

CdAu4 | PBEsol | relaxed

Results
space-group type: No. 139
energy: -3.444 eV/atom
D(E_F): 1.1 states/eV/f.u.

Lattice parameters (Å, degrees): 2.941 2.941 10.236 98.26 98.26 90.00
Element x y z (fractional)
1 Au 0.799 0.799 0.598
2 Au 0.201 0.201 0.402
3 Au 0.399 0.399 0.797
4 Au 0.601 0.601 0.203
5 Cd 0.000 0.000 0.000

---

CdAu3 | PBEsol | relaxed

Results
space-group type: No. 194
energy: -3.376 eV/atom
D(E_F): 1.6 states/eV/f.u.

Lattice parameters (Å, degrees): 4.821 5.776 5.776 120.00 90.00 90.00
Element x y z (fractional)
1 Cd 0.250 0.333 0.667
2 Cd 0.750 0.667 0.333
3 Au 0.750 0.166 0.834
4 Au 0.250 0.834 0.166
5 Au 0.750 0.668 0.834
6 Au 0.250 0.834 0.668
7 Au 0.750 0.166 0.332
8 Au 0.250 0.332 0.166

---

CdAu5 | PBEsol | relaxed

Results
space-group type: No. 123
energy: -3.523 eV/atom
D(E_F): 1.8 states/eV/f.u.

Lattice parameters (Å, degrees): 2.915 2.915 12.198 90.00 90.00 90.00
Element x y z (fractional)
1 Cd 0.500 0.500 0.500
2 Au 0.000 0.000 0.331
3 Au 0.500 0.500 0.164
4 Au 0.000 0.000 0.000
5 Au 0.500 0.500 0.836
6 Au 0.000 0.000 0.669

---

CdAu5 | PBEsol | relaxed

Results
space-group type: No. 38
energy: -3.536 eV/atom
D(E_F): 1.8 states/eV/f.u.

Lattice parameters (Å, degrees): 2.944 4.753 7.548 90.00 101.25 90.00
Element x y z (fractional)
1 Au 0.555 0.500 0.110
2 Au 0.002 0.000 0.003
3 Au 0.668 0.000 0.336
4 Au 0.221 0.500 0.442
5 Au 0.334 0.000 0.667
6 Cd 0.888 0.500 0.776

---

Cd2Au | PBEsol | relaxed

Results
space-group type: No. 140
energy: -2.225 eV/atom
D(E_F): 0.9 states/eV/f.u.

Lattice parameters (Å, degrees): 5.422 5.452 5.452 75.68 60.18 60.18
Element x y z (fractional)
1 Cd 0.346 0.500 0.807
2 Cd 0.154 0.193 0.500
3 Cd 0.654 0.500 0.193
4 Cd 0.846 0.807 0.500
5 Au 0.250 0.000 0.000
6 Au 0.750 0.000 0.000

---

CdAu2 | PBEsol | relaxed

Results
space-group type: No. 140
energy: -3.072 eV/atom
D(E_F): 0.9 states/eV/f.u.

Lattice parameters (Å, degrees): 5.356 5.659 5.356 61.75 90.00 118.25
Element x y z (fractional)
1 Cd 0.250 0.500 0.750
2 Cd 0.750 0.500 0.250
3 Au 0.185 0.000 0.315
4 Au 0.815 0.000 0.685
5 Au 0.315 0.000 0.815
6 Au 0.685 0.000 0.185

---

Cd3Au5 | PBEsol | relaxed

Results
space-group type: No. 8
energy: -3.003 eV/atom
offset from the most stable computed form: 0.047 eV/atom
D(E_F): 2.1 states/eV/f.u.

Lattice parameters (Å, degrees): 5.340 7.554 7.871 86.58 70.17 79.88
Element x y z (fractional)
1 Cd 0.254 0.239 0.000
2 Cd 0.647 0.513 0.662
3 Cd 0.345 0.915 0.430
4 Cd 0.309 0.513 0.338
5 Cd 0.669 0.854 0.000
6 Cd 0.775 0.915 0.570
7 Au 0.952 0.248 0.399
8 Au 0.612 0.176 0.203
9 Au 0.789 0.636 0.309
10 Au 0.351 0.248 0.601
11 Au 0.815 0.176 0.797
12 Au 0.099 0.636 0.691
13 Au 0.786 0.473 0.000
14 Au 0.266 0.604 0.000
15 Au 0.068 0.929 0.189
16 Au 0.257 0.929 0.811

---

CdAu2 | PBEsol | relaxed

Results
space-group type: No. 164
energy: -3.118 eV/atom
D(E_F): 0.8 states/eV/f.u.

Lattice parameters (Å, degrees): 2.826 4.667 4.667 120.00 90.00 90.00
Element x y z (fractional)
1 Au 0.626 0.333 0.667
2 Au 0.374 0.667 0.333
3 Cd 0.000 0.000 0.000

---

Cd2Au | PBEsol | relaxed

Results
space-group type: No. 227
energy: -2.226 eV/atom
D(E_F): 0.8 states/eV/f.u.

Lattice parameters (Å, degrees): 8.760 8.760 8.760 60.00 60.00 60.00
Element x y z (fractional)
1 Cd 0.309 0.691 0.691
2 Cd 0.625 0.125 0.125
3 Cd 0.559 0.941 0.559
4 Cd 0.941 0.941 0.559
5 Cd 0.559 0.559 0.941
6 Cd 0.125 0.125 0.625
7 Cd 0.309 0.691 0.309
8 Cd 0.941 0.559 0.559
9 Cd 0.309 0.309 0.691
10 Cd 0.691 0.691 0.309
11 Cd 0.691 0.309 0.309
12 Cd 0.941 0.559 0.941
13 Cd 0.125 0.125 0.125
14 Cd 0.559 0.941 0.941
15 Cd 0.125 0.625 0.125
16 Cd 0.691 0.309 0.691
17 Au 0.344 0.344 0.967
18 Au 0.906 0.906 0.283
19 Au 0.283 0.906 0.906
20 Au 0.906 0.283 0.906
21 Au 0.344 0.967 0.344
22 Au 0.344 0.344 0.344
23 Au 0.906 0.906 0.906
24 Au 0.967 0.344 0.344

---

CdAu3 | PBEsol | relaxed

Results
space-group type: No. 44
energy: -3.344 eV/atom
D(E_F): 1.1 states/eV/f.u.

Lattice parameters (Å, degrees): 2.998 4.936 5.531 116.50 105.72 90.00
Element x y z (fractional)
1 Au 0.251 0.257 0.502
2 Au 0.749 0.755 0.498
3 Au 0.000 0.663 0.000
4 Cd 0.500 0.159 0.000

---

CdAu3 | PBEsol | relaxed

Results
space-group type: No. 65
energy: -3.339 eV/atom
D(E_F): 1.3 states/eV/f.u.

Lattice parameters (Å, degrees): 3.031 4.935 4.935 108.70 90.00 90.00
Element x y z (fractional)
1 Cd 0.000 0.500 0.500
2 Au 0.500 0.000 0.500
3 Au 0.000 0.000 0.000
4 Au 0.500 0.500 0.000

---

Cd2Au | PBEsol | relaxed

Results
space-group type: No. 8
energy: -2.216 eV/atom
D(E_F): 0.8 states/eV/f.u.

Lattice parameters (Å, degrees): 3.110 5.604 6.935 102.85 90.00 106.11
Element x y z (fractional)
1 Au 0.672 0.344 0.339
2 Au 0.995 0.989 0.995
3 Cd 0.713 0.425 0.951
4 Cd 0.059 0.118 0.604
5 Cd 0.337 0.674 0.673
6 Cd 0.391 0.783 0.271

---

Cd5Au4 | PBEsol | relaxed

Results
space-group type: No. 139
energy: -2.525 eV/atom
offset from the most stable computed form: 0.036 eV/atom
D(E_F): 2.3 states/eV/f.u.

Lattice parameters (Å, degrees): 4.262 6.575 6.575 83.97 71.09 71.09
Element x y z (fractional)
1 Cd 0.331 0.000 0.339
2 Cd 0.000 0.000 0.000
3 Cd 0.669 0.661 0.000
4 Cd 0.669 0.000 0.661
5 Cd 0.331 0.339 0.000
6 Au 0.000 0.333 0.667
7 Au 0.667 0.333 0.333
8 Au 0.333 0.667 0.667
9 Au 0.000 0.667 0.333

---

CdAu5 | PBEsol | relaxed

Results
space-group type: No. 191
energy: -3.433 eV/atom
D(E_F): 1.7 states/eV/f.u.

Lattice parameters (Å, degrees): 4.625 5.401 5.401 120.00 90.00 90.00
Element x y z (fractional)
1 Au 0.000 0.333 0.667
2 Au 0.500 0.500 0.500
3 Au 0.500 0.500 0.000
4 Au 0.500 0.000 0.500
5 Au 0.000 0.667 0.333
6 Cd 0.000 0.000 0.000

---

CeCdAu2 | PBEsol | relaxed

Results
space-group type: No. 225
energy: -4.444 eV/atom
D(E_F): 5.7 states/eV/f.u.

Lattice parameters (Å, degrees): 4.918 4.918 4.918 60.00 60.00 60.00
Last column: magnetic moment on the atom in μB.
Element x y z (fractional)
1 Ce 0.000 0.000 0.000  0.41
2 Au 0.250 0.250 0.250  0.00
3 Au 0.750 0.750 0.750  0.00
4 Cd 0.500 0.500 0.500  0.00